Material: LiMnPO4
Method: DFT, PBE+U
State: optimized geometry

ρ (g cm⁻³): 3.32
Energy (eV per atom): -7.182

Unit cell a=4.795 b=6.171 c=10.592 alpha=90.00 beta=90.00 gamma=90.00
Fractional positions:
1 Li 0.000 0.000 0.000
2 Li 0.500 0.500 0.500
3 Li 0.000 0.500 0.000
4 Li 0.500 0.000 0.500
5 Mn 0.026 0.750 0.281
6 Mn 0.474 0.750 0.781
7 Mn 0.974 0.250 0.719
8 Mn 0.526 0.250 0.219
9 P 0.410 0.250 0.908
10 P 0.090 0.250 0.408
11 P 0.590 0.750 0.092
12 P 0.910 0.750 0.592
13 O 0.731 0.250 0.904
14 O 0.769 0.250 0.404
15 O 0.269 0.750 0.096
16 O 0.231 0.750 0.596
17 O 0.211 0.250 0.544
18 O 0.289 0.250 0.044
19 O 0.789 0.750 0.456
20 O 0.711 0.750 0.956
21 O 0.277 0.049 0.839
22 O 0.223 0.451 0.339
23 O 0.723 0.549 0.161
24 O 0.777 0.951 0.661
25 O 0.723 0.951 0.161
26 O 0.777 0.549 0.661
27 O 0.277 0.451 0.839
28 O 0.223 0.049 0.339